## P
The following is a PBE-GGA calculation of crystalline Li2BeHg at its relaxed geometry, from Alexandria via LeMat-Bulk.

CIF file:
```
data_Li2BeHg
_chemical_formula_sum 'Li2 Be1 Hg1'
_space_group_name_H-M_alt 'P 4 m m'
_space_group_IT_number 99
_cell_length_a 3.146
_cell_length_b 3.146
_cell_length_c 6.302
_cell_angle_alpha 90.00
_cell_angle_beta 90.00
_cell_angle_gamma 90.00
loop_
_space_group_symop_operation_xyz
'x,y,z'
'-y,x,z'
'-x,-y,z'
'y,-x,z'
'-x,y,z'
'y,x,z'
'x,-y,z'
'-y,-x,z'
loop_
_atom_site_label
_atom_site_type_symbol
_atom_site_fract_x
_atom_site_fract_y
_atom_site_fract_z
Li1 Li 0.000 0.000 0.000
Li2 Li 0.500 0.500 0.279
Be1 Be 0.000 0.000 0.500
Hg1 Hg 0.500 0.500 0.729
```

Summary:
V	62.4	Å³ per cell

***

## Q
The following is a PBE-GGA calculation of crystalline Li2BeHg at its relaxed geometry, from Alexandria via LeMat-Bulk.

CIF file:
```
data_Li2BeHg
_chemical_formula_sum 'Li4 Be2 Hg2'
_space_group_name_H-M_alt 'I 4/m m m'
_space_group_IT_number 139
_space_group_name_Hall '-I 4 2'
_cell_length_a 3.723
_cell_length_b 3.723
_cell_length_c 8.495
_cell_angle_alpha 90.00
_cell_angle_beta 90.00
_cell_angle_gamma 90.00
loop_
_atom_site_label
_atom_site_type_symbol
_atom_site_fract_x
_atom_site_fract_y
_atom_site_fract_z
Li1 Li 0.000 0.500 0.250
Be1 Be 0.000 0.000 0.000
Hg1 Hg 0.000 0.000 0.500
```

Summary:
V	117.7	Å³ per cell

***

## R
The following is a PBE-GGA calculation of crystalline Li2BeHg at its relaxed geometry, from Alexandria via LeMat-Bulk.

CIF file:
```
data_Li2BeHg
_chemical_formula_sum 'Li6 Be3 Hg3'
_space_group_name_H-M_alt 'R -3 m'
_space_group_IT_number 166
_space_group_name_Hall '-R 3 2"'
_cell_length_a 2.9333
_cell_length_b 2.9333
_cell_length_c 27.2096
_cell_angle_alpha 90.00
_cell_angle_beta 90.00
_cell_angle_gamma 120.00
loop_
_atom_site_label
_atom_site_type_symbol
_atom_site_fract_x
_atom_site_fract_y
_atom_site_fract_z
Li1 Li 0.0000 0.0000 0.2443
Be1 Be 0.0000 0.0000 0.5000
Hg1 Hg 0.0000 0.0000 0.0000
```

Summary:
V	202.8	Å³ per cell

***

Last place for stability: R

***

## P
The following is a PBE-GGA calculation of crystalline LiBeHg3 at its relaxed geometry, from Alexandria via LeMat-Bulk.

CIF file:
```
data_LiBeHg3
_chemical_formula_sum 'Li1 Be1 Hg3'
_space_group_name_H-M_alt 'P m -3 m'
_space_group_IT_number 221
_space_group_name_Hall '-P 4 2 3'
_cell_length_a 4.805
_cell_length_b 4.805
_cell_length_c 4.805
_cell_angle_alpha 90.00
_cell_angle_beta 90.00
_cell_angle_gamma 90.00
loop_
_atom_site_label
_atom_site_type_symbol
_atom_site_fract_x
_atom_site_fract_y
_atom_site_fract_z
Li1 Li 0.000 0.000 0.000
Be1 Be 0.500 0.500 0.500
Hg1 Hg 0.000 0.500 0.500
```

Summary:
V	110.9	Å³ per cell

***

## Q
The following is a PBE-GGA calculation of crystalline LiBeHg3 at its relaxed geometry, from Alexandria via LeMat-Bulk.

CIF file:
```
data_LiBeHg3
_chemical_formula_sum 'Li1 Be1 Hg3'
_space_group_name_H-M_alt 'P m -3 m'
_space_group_IT_number 221
_space_group_name_Hall '-P 4 2 3'
_cell_length_a 5.044
_cell_length_b 5.044
_cell_length_c 5.044
_cell_angle_alpha 90.00
_cell_angle_beta 90.00
_cell_angle_gamma 90.00
loop_
_atom_site_label
_atom_site_type_symbol
_atom_site_fract_x
_atom_site_fract_y
_atom_site_fract_z
Li1 Li 0.000 0.000 0.000
Be1 Be 0.500 0.500 0.500
Hg1 Hg 0.000 0.000 0.500
```

Summary:
V	128.3	Å³ per cell

***

Last place for stability: Q

***

## P
The following is a PBE-GGA calculation of crystalline Li2BeHg2 at its relaxed geometry, from Alexandria via LeMat-Bulk.

CIF file:
```
data_Li2BeHg2
_chemical_formula_sum 'Li4 Be2 Hg4'
_space_group_name_H-M_alt 'P 4/m b m'
_space_group_IT_number 127
_space_group_name_Hall '-P 4 2ab'
_cell_length_a 6.692
_cell_length_b 6.692
_cell_length_c 4.031
_cell_angle_alpha 90.00
_cell_angle_beta 90.00
_cell_angle_gamma 90.00
loop_
_atom_site_label
_atom_site_type_symbol
_atom_site_fract_x
_atom_site_fract_y
_atom_site_fract_z
Li1 Li 0.154 0.346 0.000
Be1 Be 0.000 0.000 0.500
Hg1 Hg 0.162 0.662 0.500
```

Summary:
V	180.5	Å³ per cell

***

## Q
The following is a PBE-GGA calculation of crystalline Li2BeHg2 at its relaxed geometry, from Alexandria via LeMat-Bulk.

CIF file:
```
data_Li2BeHg2
_chemical_formula_sum 'Li4 Be2 Hg4'
_space_group_name_H-M_alt 'P 4/m b m'
_space_group_IT_number 127
_space_group_name_Hall '-P 4 2ab'
_cell_length_a 7.153
_cell_length_b 7.153
_cell_length_c 3.293
_cell_angle_alpha 90.00
_cell_angle_beta 90.00
_cell_angle_gamma 90.00
loop_
_atom_site_label
_atom_site_type_symbol
_atom_site_fract_x
_atom_site_fract_y
_atom_site_fract_z
Li1 Li 0.136 0.364 0.000
Be1 Be 0.000 0.000 0.000
Hg1 Hg 0.164 0.664 0.500
```

Summary:
V	168.5	Å³ per cell

***

Last place for stability: Q

***

## P
The following is a PBE-GGA calculation of crystalline LiBeHg at its relaxed geometry, from Alexandria via LeMat-Bulk.

CIF file:
```
data_LiBeHg
_chemical_formula_sum 'Li2 Be2 Hg2'
_space_group_name_H-M_alt 'I 4 m m'
_space_group_IT_number 107
_space_group_name_Hall 'I 4 -2'
_cell_length_a 3.271
_cell_length_b 3.271
_cell_length_c 8.192
_cell_angle_alpha 90.00
_cell_angle_beta 90.00
_cell_angle_gamma 90.00
loop_
_atom_site_label
_atom_site_type_symbol
_atom_site_fract_x
_atom_site_fract_y
_atom_site_fract_z
Li1 Li 0.000 0.000 0.000
Be1 Be 0.000 0.000 0.649
Hg1 Hg 0.000 0.000 0.326
```

Summary:
V	87.6	Å³ per cell

***

## Q
The following is a PBE-GGA calculation of crystalline LiBeHg at its relaxed geometry, from Alexandria via LeMat-Bulk.

CIF file:
```
data_LiBeHg
_chemical_formula_sum 'Li1 Be1 Hg1'
_space_group_name_H-M_alt 'P -6 m 2'
_space_group_IT_number 187
_space_group_name_Hall 'P -6 2'
_cell_length_a 4.2721
_cell_length_b 4.2721
_cell_length_c 2.9814
_cell_angle_alpha 90.00
_cell_angle_beta 90.00
_cell_angle_gamma 120.00
loop_
_atom_site_label
_atom_site_type_symbol
_atom_site_fract_x
_atom_site_fract_y
_atom_site_fract_z
Li1 Li 0.0000 0.0000 0.0000
Be1 Be 0.3333 0.6667 0.5000
Hg1 Hg 0.6667 0.3333 0.5000
```

Summary:
V	47.1	Å³ per cell

***

## R
The following is a PBE-GGA calculation of crystalline LiBeHg at its relaxed geometry, from Alexandria via LeMat-Bulk.

CIF file:
```
data_LiBeHg
_chemical_formula_sum 'Li1 Be1 Hg1'
_space_group_name_H-M_alt 'P 3 m 1'
_space_group_IT_number 156
_cell_length_a 3.0473
_cell_length_b 3.0473
_cell_length_c 6.3213
_cell_angle_alpha 90.00
_cell_angle_beta 90.00
_cell_angle_gamma 120.00
loop_
_space_group_symop_operation_xyz
'x,y,z'
'-y,x-y,z'
'-x+y,-x,z'
'-y,-x,z'
'-x+y,y,z'
'x,x-y,z'
loop_
_atom_site_label
_atom_site_type_symbol
_atom_site_fract_x
_atom_site_fract_y
_atom_site_fract_z
Li1 Li 0.0000 0.0000 0.0000
Be1 Be 0.3333 0.6667 0.3204
Hg1 Hg 0.6667 0.3333 0.6313
```

Summary:
V	50.8	Å³ per cell

***

Last place for stability: R

***

## P
The following is a PBE-GGA calculation of crystalline Li3BeHg at its relaxed geometry, from Alexandria via LeMat-Bulk.

CIF file:
```
data_Li3BeHg
_chemical_formula_sum 'Li3 Be1 Hg1'
_space_group_name_H-M_alt 'P m -3 m'
_space_group_IT_number 221
_space_group_name_Hall '-P 4 2 3'
_cell_length_a 4.542
_cell_length_b 4.542
_cell_length_c 4.542
_cell_angle_alpha 90.00
_cell_angle_beta 90.00
_cell_angle_gamma 90.00
loop_
_atom_site_label
_atom_site_type_symbol
_atom_site_fract_x
_atom_site_fract_y
_atom_site_fract_z
Li1 Li 0.000 0.000 0.500
Be1 Be 0.000 0.000 0.000
Hg1 Hg 0.500 0.500 0.500
```

Summary:
V	93.7	Å³ per cell

***

## Q
The following is a PBE-GGA calculation of crystalline Li3BeHg at its relaxed geometry, from Alexandria via LeMat-Bulk.

CIF file:
```
data_Li3BeHg
_chemical_formula_sum 'Li3 Be1 Hg1'
_space_group_name_H-M_alt 'P m -3 m'
_space_group_IT_number 221
_space_group_name_Hall '-P 4 2 3'
_cell_length_a 4.888
_cell_length_b 4.888
_cell_length_c 4.888
_cell_angle_alpha 90.00
_cell_angle_beta 90.00
_cell_angle_gamma 90.00
loop_
_atom_site_label
_atom_site_type_symbol
_atom_site_fract_x
_atom_site_fract_y
_atom_site_fract_z
Li1 Li 0.000 0.000 0.500
Be1 Be 0.500 0.500 0.500
Hg1 Hg 0.000 0.000 0.000
```

Summary:
V	116.8	Å³ per cell

***

Last place for stability: Q

***

## P
The following is a PBE-GGA calculation of crystalline Lu2BeHg at its relaxed geometry, from Alexandria via LeMat-Bulk.

CIF file:
```
data_Lu2BeHg
_chemical_formula_sum 'Lu2 Be1 Hg1'
_space_group_name_H-M_alt 'P 4/m m m'
_space_group_IT_number 123
_space_group_name_Hall '-P 4 2'
_cell_length_a 3.419
_cell_length_b 3.419
_cell_length_c 7.266
_cell_angle_alpha 90.00
_cell_angle_beta 90.00
_cell_angle_gamma 90.00
loop_
_atom_site_label
_atom_site_type_symbol
_atom_site_fract_x
_atom_site_fract_y
_atom_site_fract_z
Lu1 Lu 0.000 0.000 0.221
Be1 Be 0.500 0.500 0.000
Hg1 Hg 0.500 0.500 0.500
```

Summary:
V	85.0	Å³ per cell

***

## Q
The following is a PBE-GGA calculation of crystalline Lu2BeHg at its relaxed geometry, from Alexandria via LeMat-Bulk.

CIF file:
```
data_Lu2BeHg
_chemical_formula_sum 'Lu8 Be4 Hg4'
_space_group_name_H-M_alt 'F m -3 m'
_space_group_IT_number 225
_space_group_name_Hall '-F 4 2 3'
_cell_length_a 7.043
_cell_length_b 7.043
_cell_length_c 7.043
_cell_angle_alpha 90.00
_cell_angle_beta 90.00
_cell_angle_gamma 90.00
loop_
_atom_site_label
_atom_site_type_symbol
_atom_site_fract_x
_atom_site_fract_y
_atom_site_fract_z
Lu1 Lu 0.250 0.250 0.250
Be1 Be 0.000 0.000 0.000
Hg1 Hg 0.000 0.000 0.500
```

Summary:
V	349.4	Å³ per cell

***

Last place for stability: Q